# 1
A plane-wave DFT calculation with PBE was carried out for a relaxed Ti3Be3N crystal.

Cell lengths 7.659, 7.659, 7.659 Å; angles 60.00, 60.00, 60.00 degrees
Fractional coordinates of all 28 atoms:
Be1 0.625 0.125 0.625
Be2 0.625 0.625 0.125
Be3 0.824 0.527 0.824
Be4 0.824 0.824 0.824
N1 0.125 0.125 0.625
Ti1 0.442 0.058 0.442
Be5 0.527 0.824 0.824
Be6 0.723 0.426 0.426
Ti2 0.808 0.192 0.808
N2 0.625 0.125 0.125
Be7 0.426 0.426 0.426
Ti3 0.192 0.808 0.192
Ti4 0.192 0.192 0.808
N3 0.125 0.125 0.125
Ti5 0.192 0.808 0.808
Be8 0.125 0.625 0.625
Be9 0.426 0.723 0.426
Ti6 0.058 0.442 0.058
Be10 0.824 0.824 0.527
N4 0.125 0.625 0.125
Ti7 0.808 0.808 0.192
Ti8 0.058 0.058 0.442
Ti9 0.442 0.442 0.058
Ti10 0.442 0.058 0.058
Be11 0.426 0.426 0.723
Ti11 0.808 0.192 0.192
Ti12 0.058 0.442 0.442
Be12 0.625 0.625 0.625

Values from the calculation:
As for the total magnetization: 0.00 μB/cell. For the formation energy (no corrections), the calculation gives -66.8 kJ per mole of atoms.

# 2
A plane-wave DFT calculation with PBE was carried out for a relaxed BeCu2Ir crystal.

Cell lengths 4.676, 4.676, 4.676 Å; angles 143.99, 127.37, 65.43 degrees
Fractional coordinates of all 4 atoms:
Cu1 0.021 0.021 0.000
Cu2 0.755 0.255 0.500
Ir1 0.476 0.476 0.000
Be1 0.248 0.748 0.500

Values from the calculation:
As for the total magnetization: 0.00 μB/cell. Its formation enthalpy at 0 K is -0.057 eV per atom.

# 3
A plane-wave DFT calculation with PBE was carried out for a relaxed Cu2AgMo crystal.

Cell lengths 5.413, 5.413, 5.413 Å; angles 151.66, 126.30, 61.82 degrees
Fractional coordinates of all 4 atoms:
Ag1 0.250 0.750 0.500
Mo1 0.750 0.250 0.500
Cu1 0.998 0.998 0.000
Cu2 0.502 0.502 0.000

Values from the calculation:
As for the total magnetization: 0.00 μB/cell. Its formation enthalpy at 0 K is 0.518 eV per atom. Its energy relative to the lowest polymorph listed for this composition is 316 meV per atom.

# 4
A plane-wave DFT calculation with PBE was carried out for a relaxed Ti2TcSbP crystal.

Cell lengths 4.999, 4.840, 4.999 Å; angles 90.00, 90.00, 90.00 degrees
Fractional coordinates of all 5 atoms:
Ti1 0.500 0.000 0.000
Ti2 0.000 0.000 0.500
P1 0.500 0.500 0.500
Sb1 0.000 0.000 0.000
Tc1 0.000 0.500 0.000

Values from the calculation:
As for the total magnetization: 2.49 μB/cell. For the formation energy (no corrections), the calculation gives 129.9 kJ per mole of atoms.

# 5
A plane-wave DFT calculation with PBE was carried out for a relaxed Ac2NdHoBi4 crystal.

Cell lengths 4.714, 8.155, 8.158 Å; angles 70.52, 90.00, 90.00 degrees
Fractional coordinates of all 8 atoms:
Bi1 0.500 0.271 0.739
Nd1 0.500 0.500 0.000
Bi2 0.000 0.732 0.752
Bi3 0.000 0.268 0.248
Ac1 0.000 0.000 0.000
Bi4 0.500 0.729 0.261
Ho1 0.000 0.500 0.500
Ac2 0.500 0.000 0.500

Values from the calculation:
As for the total magnetization: 0.00 μB/cell. Its formation enthalpy at 0 K is -0.931 eV per atom.

# 6
A plane-wave DFT calculation with PBE was carried out for a relaxed CdSe2N crystal.

Cell lengths 4.741, 4.741, 4.741 Å; angles 60.00, 60.00, 60.00 degrees
Fractional coordinates of all 4 atoms:
Se1 0.250 0.250 0.250
N1 0.000 0.000 0.000
Cd1 0.500 0.500 0.500
Se2 0.750 0.750 0.750

Values from the calculation:
As for the total magnetization: 1.84 μB/cell. Its energy relative to the lowest polymorph listed for this composition is 714 meV per atom. For the formation energy (no corrections), the calculation gives 122.9 kJ per mole of atoms.

# 7
A plane-wave DFT calculation with PBE was carried out for a relaxed SmY4In crystal.

Cell lengths 3.606, 3.606, 14.288 Å; angles 90.00, 90.00, 90.00 degrees
Fractional coordinates of all 6 atoms:
Sm1 0.500 0.500 0.500
Y1 0.000 0.000 0.323
In1 0.000 0.000 0.000
Y2 0.500 0.500 0.145
Y3 0.500 0.500 0.855
Y4 0.000 0.000 0.677

Values from the calculation:
As for the total magnetization: 0.00 μB/cell. Its formation enthalpy at 0 K is -0.162 eV per atom. Its energy relative to the lowest polymorph listed for this composition is 0 meV per atom.